[1]
## CeDy2TmBi4 (GGA-PBE)

Data for a relaxed CeDy2TmBi4 crystal.

abc: 4.503 7.783 7.792
angles: 109.46 90.00 90.00
Fractional positions:
Bi  0.000  0.755  0.253
Bi  0.500  0.246  0.250
Bi  0.500  0.754  0.750
Tm  0.000  0.000  0.000
Ce  0.500  0.500  0.000
Dy  0.000  0.500  0.500
Bi  0.000  0.245  0.747
Dy  0.500  0.000  0.500

Properties
V (Å³ per cell): 257
DFT formation energy (eV/atom): -0.82
Spin magnetization (μB per formula unit): 0.79

[2]
## Cd2MoRu (GGA-PBE)

Data for a relaxed Cd2MoRu crystal.

abc: 3.160 4.539 4.844
angles: 90.00 90.00 90.00
Fractional positions:
Ru  0.000  0.500  0.500
Cd  0.500  0.500  0.000
Cd  0.000  0.000  0.000
Mo  0.500  0.000  0.500

Properties
V (Å³ per cell): 69
DFT formation energy (eV/atom): 0.49
Spin magnetization (μB per formula unit): 0.00

[3]
## NdTm3Ru (GGA-PBE)

Data for a relaxed NdTm3Ru crystal.

abc: 7.284 7.284 7.182
angles: 107.09 112.57 109.38
Fractional positions:
Tm  0.301  0.556  0.857
Tm  0.151  0.940  0.693
Ru  0.359  0.255  0.614
Tm  0.246  0.458  0.307
Nd  0.718  0.053  0.770
Nd  0.282  0.947  0.230
Tm  0.849  0.060  0.307
Tm  0.699  0.444  0.143
Ru  0.641  0.745  0.386
Tm  0.754  0.542  0.693

Properties
V (Å³ per cell): 291
DFT formation energy (eV/atom): -0.21
Spin magnetization (μB per formula unit): 0.00

no.,mass density (kg/m³)
1,9481
2,10083
3,8598